[1]
MnCuPS2 after structural relaxation, computed with PBE-GGA.

Results
Density ... 4.0 g cm⁻³
DOS at the Fermi energy ... 5.712 states/eV/f.u.
SG ... No. 123
Raw total energy ... -0.155 Ha/atom
Magnetization ... 0.19 μB per formula unit

Unit cell a=4.5268 b=4.5268 c=4.3707 alpha=90.00 beta=90.00 gamma=90.00
Last column: nearest neighbours and their distance in Å.
Atoms (fractional coordinates):
Mn1 0.0000 0.0000 0.0000  8 S 3.15, 4 P 3.20
Cu1 0.5000 0.5000 0.5000  2 P 2.19, 4 S 2.26
P1 0.5000 0.5000 0.0000  2 Cu 2.19
S1 0.0000 0.5000 0.5000  2 Cu 2.26
S2 0.5000 0.0000 0.5000  2 Cu 2.26

---

[2]
MnCuP2S after structural relaxation, computed with PBE-GGA.

Results
Density ... 4.0 g cm⁻³
DOS at the Fermi energy ... 3.534 states/eV/f.u.
SG ... No. 123
Raw total energy ... -0.185 Ha/atom
Magnetization ... 1.20 μB per formula unit

Unit cell a=4.1832 b=4.1832 c=5.0937 alpha=90.00 beta=90.00 gamma=90.00
Last column: nearest neighbours and their distance in Å.
Atoms (fractional coordinates):
Mn1 0.0000 0.0000 0.0000  4 P 2.09
Cu1 0.5000 0.5000 0.5000  4 S 2.96, 8 P 3.30
P1 0.0000 0.5000 0.0000  2 Mn 2.09
P2 0.5000 0.0000 0.0000  2 Mn 2.09
S1 0.0000 0.0000 0.5000  2 Mn 2.55

---

[3]
MnCuP2S after structural relaxation, computed with PBE-GGA.

Results
Density ... 3.8 g cm⁻³
DOS at the Fermi energy ... 3.446 states/eV/f.u.
SG ... No. 123
Raw total energy ... -0.178 Ha/atom
Magnetization ... 3.83 μB per formula unit

Unit cell a=4.4392 b=4.4392 c=4.7033 alpha=90.00 beta=90.00 gamma=90.00
Last column: nearest neighbours and their distance in Å.
Atoms (fractional coordinates):
Mn1 0.0000 0.0000 0.0000  4 S 3.14, 8 P 3.23
Cu1 0.5000 0.5000 0.5000  4 P 2.22, 2 S 2.35
P1 0.0000 0.5000 0.5000  2 Cu 2.22
P2 0.5000 0.0000 0.5000  2 Cu 2.22
S1 0.5000 0.5000 0.0000  2 Cu 2.35

---

[4]
MnCu2PS4 after structural relaxation, computed with PBE-GGA.

Results
Density ... 3.8 g cm⁻³
DOS at the Fermi energy ... 1.244 states/eV/f.u.
SG ... No. 42
Raw total energy ... -0.189 Ha/atom
Magnetization ... 4.07 μB per formula unit

Unit cell a=6.4504 b=6.4476 c=5.3359 alpha=65.59 beta=65.53 gamma=48.88
Last column: nearest neighbours and their distance in Å.
Atoms (fractional coordinates):
Mn1 0.0000 0.0000 0.0000  4 S 2.36
Cu1 0.2502 0.2502 0.2498  4 S 2.30
Cu2 0.7502 0.7502 0.7498  4 S 2.30
P1 0.5004 0.5004 0.4996  4 S 2.22-2.23
S1 0.1372 0.6141 0.8628  1 P 2.22, 2 Cu 2.30, 1 Mn 2.36
S2 0.3848 0.8643 0.1357  1 P 2.23, 2 Cu 2.30, 1 Mn 2.36
S3 0.6141 0.1372 0.3859  1 P 2.22, 2 Cu 2.30, 1 Mn 2.36
S4 0.8643 0.3848 0.6152  1 P 2.23, 2 Cu 2.30, 1 Mn 2.36

---

[5]
MnCu2SnP after structural relaxation, computed with PBE-GGA.

Results
Density ... 6.5 g cm⁻³
DOS at the Fermi energy ... 2.479 states/eV/f.u.
SG ... No. 123
Raw total energy ... -0.191 Ha/atom
Magnetization ... 3.06 μB per formula unit

Unit cell a=4.3358 b=4.3358 c=4.5117 alpha=90.00 beta=90.00 gamma=90.00
Last column: nearest neighbours and their distance in Å.
Atoms (fractional coordinates):
Mn1 0.0000 0.0000 0.0000  2 P 2.26
Cu1 0.0000 0.5000 0.5000  2 P 2.17
Cu2 0.5000 0.0000 0.5000  2 P 2.17
Sn1 0.5000 0.5000 0.0000  4 Mn 3.07, 8 Cu 3.13
P1 0.0000 0.0000 0.5000  4 Cu 2.17, 2 Mn 2.26

---

[6]
SrMnCuP after structural relaxation, computed with PBE-GGA.

Results
Density ... 5.1 g cm⁻³
DOS at the Fermi energy ... 1.916 states/eV/f.u.
SG ... No. 129
Raw total energy ... -0.204 Ha/atom
Magnetization ... 1.61 μB per formula unit

Unit cell a=3.6898 b=3.6898 c=11.3222 alpha=90.00 beta=90.00 gamma=90.00
Last column: nearest neighbours and their distance in Å.
Atoms (fractional coordinates):
Sr1 0.2500 0.2500 0.2377  4 P 3.07, 4 Cu 3.26
Sr2 0.7500 0.7500 0.7623  4 P 3.07, 4 Cu 3.26
Mn1 0.2500 0.7500 0.5000  4 P 2.29
Mn2 0.7500 0.2500 0.5000  4 P 2.29
Cu1 0.2500 0.7500 0.0000  4 Cu 2.61
Cu2 0.7500 0.2500 0.0000  4 Cu 2.61
P1 0.2500 0.2500 0.6194  4 Mn 2.29
P2 0.7500 0.7500 0.3806  4 Mn 2.29

---

[7]
TaMnCuP2 after structural relaxation, computed with PBE-GGA.

Results
Density ... 7.1 g cm⁻³
DOS at the Fermi energy ... 6.297 states/eV/f.u.
SG ... No. 123
Raw total energy ... -0.240 Ha/atom
Magnetization ... 0.00 μB per formula unit

Unit cell a=4.1746 b=4.1746 c=4.8271 alpha=90.00 beta=90.00 gamma=90.00
Last column: nearest neighbours and their distance in Å.
Atoms (fractional coordinates):
Ta1 0.0000 0.0000 0.0000  2 Mn 2.41
Mn1 0.0000 0.0000 0.5000  4 P 2.09
Cu1 0.5000 0.5000 0.0000  4 Ta 2.95, 8 P 3.19
P1 0.0000 0.5000 0.5000  2 Mn 2.09
P2 0.5000 0.0000 0.5000  2 Mn 2.09

---

[8]
Tb2Mn3Cu9P7 after structural relaxation, computed with PBE-GGA.

Results
Density ... 7.2 g cm⁻³
DOS at the Fermi energy ... 9.558 states/eV/f.u.
SG ... No. 174
Raw total energy ... -0.211 Ha/atom
Magnetization ... 10.61 μB per formula unit

Unit cell a=9.5009 b=9.5009 c=3.7687 alpha=90.00 beta=90.00 gamma=120.00
Last column: nearest neighbours and their distance in Å.
Atoms (fractional coordinates):
Tb1 0.0000 0.0000 0.0000  6 P 2.91, 12 Cu 3.19-3.25
Tb2 0.3333 0.6667 0.5000  6 P 2.91, 9 Cu 3.15-3.20
Mn1 0.5336 0.4174 0.5000  5 P 2.41-2.66
Mn2 0.5826 0.1161 0.5000  5 P 2.41-2.66
Mn3 0.8839 0.4664 0.5000  5 P 2.41-2.66
Cu1 0.0530 0.2935 0.5000  4 P 2.38-2.44, 2 Cu 2.65
Cu2 0.0971 0.7172 0.0000  4 P 2.33-2.43
Cu3 0.2405 0.9470 0.5000  4 P 2.38-2.44, 2 Cu 2.65
Cu4 0.2828 0.3799 0.0000  4 P 2.33-2.43
Cu5 0.3878 0.1688 0.0000  4 P 2.31-2.43
Cu6 0.6201 0.9029 0.0000  4 P 2.33-2.43
Cu7 0.7065 0.7595 0.5000  4 P 2.38-2.44, 2 Cu 2.65
Cu8 0.7809 0.6122 0.0000  4 P 2.31-2.43
Cu9 0.8312 0.2191 0.0000  4 P 2.31-2.43
P1 0.0794 0.4634 0.0000  5 Cu 2.33-2.43
P2 0.2512 0.2095 0.5000  6 Cu 2.38-2.44, 1 Mn 2.41
P3 0.3840 0.9206 0.0000  5 Cu 2.33-2.43
P4 0.5366 0.6160 0.0000  5 Cu 2.33-2.43
P5 0.6667 0.3333 0.0000  3 Cu 2.31
P6 0.7905 0.0417 0.5000  6 Cu 2.38-2.44, 1 Mn 2.41
P7 0.9583 0.7488 0.5000  6 Cu 2.38-2.44, 1 Mn 2.41